--- one ---
# LiFe2P2O8 | the Alexandria database | GGA-PBEsol | relaxed
data_LiFe2P2O8
_chemical_formula_sum 'Li2 Fe4 P4 O16'
_cell_length_a 7.946
_cell_length_b 5.262
_cell_length_c 6.068
_cell_angle_alpha 90.00
_cell_angle_beta 91.37
_cell_angle_gamma 90.00
_symmetry_space_group_name_H-M 'C 1 m 1'
_symmetry_Int_Tables_number 8
loop_
_symmetry_equiv_pos_as_xyz
'x,y,z'
'x,-y,z'
'x+1/2,y+1/2,z'
'x+1/2,-y+1/2,z'
loop_
_atom_site_label
_atom_site_fract_x
_atom_site_fract_y
_atom_site_fract_z
Li1 0.000 0.000 0.000
Fe1 0.169 0.500 0.261
Fe2 0.171 0.500 0.737
P1 0.022 0.000 0.508
P2 0.329 0.000 0.970
O1 0.139 0.240 0.511
O2 0.205 0.238 0.972
O3 0.411 0.500 0.710
O4 0.419 0.500 0.291
O5 0.432 0.000 0.184
O6 0.435 0.000 0.767
# - DOS at the Fermi energy (states/eV per atom) = 0.584
# - calculated density (g/cm³) = 4.0
# - total magnetic moment (Bohr magnetons per cell) = 9.99

--- two ---
# LiFe2P2O8 | the Alexandria database | GGA-PBEsol | relaxed
data_LiFe2P2O8
_chemical_formula_sum 'Li4 Fe8 P8 O32'
_cell_length_a 10.098
_cell_length_b 5.129
_cell_length_c 13.196
_cell_angle_alpha 90.00
_cell_angle_beta 90.00
_cell_angle_gamma 90.00
_symmetry_space_group_name_H-M 'P c a 21'
_symmetry_Int_Tables_number 29
loop_
_symmetry_equiv_pos_as_xyz
'x,y,z'
'-x,-y,z+1/2'
'-x+1/2,y,z+1/2'
'x+1/2,-y,z'
loop_
_atom_site_label
_atom_site_fract_x
_atom_site_fract_y
_atom_site_fract_z
Li1 0.208 0.020 0.000
Fe1 0.043 0.393 0.500
Fe2 0.210 0.032 0.745
P1 0.039 0.902 0.371
P2 0.206 0.520 0.129
O1 0.014 0.610 0.388
O2 0.022 0.947 0.963
O3 0.025 0.011 0.771
O4 0.056 0.502 0.113
O5 0.191 0.962 0.369
O6 0.227 0.373 0.539
O7 0.248 0.392 0.230
O8 0.249 0.812 0.628
# - DOS at the Fermi energy (states/eV per atom) = 0.564
# - calculated density (g/cm³) = 3.0
# - total magnetic moment (Bohr magnetons per cell) = 36.00

two ends up most stable, edging out the next structure by 45 meV per atom.

--- one ---
# LiFe2P2O8 | the Alexandria database | GGA-PBEsol | relaxed
data_LiFe2P2O8
_chemical_formula_sum 'Li2 Fe4 P4 O16'
_cell_length_a 6.762
_cell_length_b 7.600
_cell_length_c 6.750
_cell_angle_alpha 90.00
_cell_angle_beta 90.68
_cell_angle_gamma 90.00
_symmetry_space_group_name_H-M 'C 1 2 1'
_symmetry_Int_Tables_number 5
loop_
_symmetry_equiv_pos_as_xyz
'x,y,z'
'-x,y,-z'
'x+1/2,y+1/2,z'
'-x+1/2,y+1/2,-z'
loop_
_atom_site_label
_atom_site_fract_x
_atom_site_fract_y
_atom_site_fract_z
Li1 0.000 0.000 0.000
Fe1 0.000 0.009 0.500
Fe2 0.000 0.493 0.000
P1 0.237 0.750 0.748
O1 0.051 0.638 0.779
O2 0.074 0.132 0.258
O3 0.218 0.857 0.556
O4 0.243 0.375 0.069
# - DOS at the Fermi energy (states/eV per atom) = 0.569
# - calculated density (g/cm³) = 3.0
# - total magnetic moment (Bohr magnetons per cell) = 18.00

--- two ---
# LiFe2P2O8 | the Alexandria database | GGA-PBEsol | relaxed
data_LiFe2P2O8
_chemical_formula_sum 'Li1 Fe2 P2 O8'
_cell_length_a 4.764
_cell_length_b 4.995
_cell_length_c 5.740
_cell_angle_alpha 85.93
_cell_angle_beta 70.89
_cell_angle_gamma 77.09
_symmetry_space_group_name_H-M 'P 1'
_symmetry_Int_Tables_number 1
loop_
_symmetry_equiv_pos_as_xyz
'x,y,z'
loop_
_atom_site_label
_atom_site_fract_x
_atom_site_fract_y
_atom_site_fract_z
Li1 0.000 0.000 0.000
Fe1 0.650 0.127 0.609
Fe2 0.659 0.576 0.339
P1 0.004 0.533 0.744
P2 0.319 0.175 0.199
O1 0.361 0.499 0.644
O2 0.405 0.036 0.949
O3 0.420 0.446 0.184
O4 0.451 0.970 0.377
O5 0.863 0.715 0.560
O6 0.910 0.663 0.001
O7 0.923 0.251 0.761
O8 0.957 0.223 0.290
# - DOS at the Fermi energy (states/eV per atom) = 0.271
# - calculated density (g/cm³) = 4.1
# - total magnetic moment (Bohr magnetons per cell) = 4.99

one ends up most stable, edging out the next structure by 46 meV per atom.

--- one ---
# LiFeSiO4 | the Alexandria database | GGA-PBEsol | relaxed
data_LiFeSiO4
_chemical_formula_sum 'Li4 Fe4 Si4 O16'
_cell_length_a 7.891
_cell_length_b 5.353
_cell_length_c 8.331
_cell_angle_alpha 90.00
_cell_angle_beta 106.32
_cell_angle_gamma 90.00
_symmetry_space_group_name_H-M 'P 1 c 1'
_symmetry_Int_Tables_number 7
loop_
_symmetry_equiv_pos_as_xyz
'x,y,z'
'x,-y,z+1/2'
loop_
_atom_site_label
_atom_site_fract_x
_atom_site_fract_y
_atom_site_fract_z
Li1 0.000 0.157 0.000
Li2 0.508 0.338 0.704
Fe1 0.108 0.345 0.372
Fe2 0.634 0.170 0.088
Si1 0.389 0.156 0.325
Si2 0.876 0.326 0.624
O1 0.026 0.334 0.807
O2 0.184 0.169 0.203
O3 0.353 0.306 0.486
O4 0.468 0.125 0.877
O5 0.525 0.304 0.240
O6 0.710 0.158 0.646
O7 0.820 0.380 0.076
O8 0.954 0.200 0.480
# - calculated density (g/cm³) = 3.0
# - total magnetic moment (Bohr magnetons per cell) = 0.00

--- two ---
# LiFeSiO4 | the Alexandria database | GGA-PBEsol | relaxed
data_LiFeSiO4
_chemical_formula_sum 'Li4 Fe4 Si4 O16'
_cell_length_a 7.165
_cell_length_b 7.275
_cell_length_c 6.583
_cell_angle_alpha 90.00
_cell_angle_beta 90.00
_cell_angle_gamma 90.00
_symmetry_space_group_name_H-M 'C 2 2 21'
_symmetry_Int_Tables_number 20
loop_
_symmetry_equiv_pos_as_xyz
'x,y,z'
'-x,-y,z+1/2'
'x,-y,-z'
'-x,y,-z+1/2'
'x+1/2,y+1/2,z'
'-x+1/2,-y+1/2,z+1/2'
'x+1/2,-y+1/2,-z'
'-x+1/2,y+1/2,-z+1/2'
loop_
_atom_site_label
_atom_site_fract_x
_atom_site_fract_y
_atom_site_fract_z
Li1 0.000 0.192 0.250
Fe1 0.000 0.183 0.750
Si1 0.178 0.500 0.000
O1 0.049 0.314 0.988
O2 0.189 0.009 0.702
# - calculated density (g/cm³) = 3.0
# - total magnetic moment (Bohr magnetons per cell) = 20.00

two ends up most stable, edging out the next structure by 26 meV per atom.

--- one ---
# LiFeSiO4 | the Alexandria database | GGA-PBEsol | relaxed
data_LiFeSiO4
_chemical_formula_sum 'Li2 Fe2 Si2 O8'
_cell_length_a 4.434
_cell_length_b 4.434
_cell_length_c 8.505
_cell_angle_alpha 90.00
_cell_angle_beta 90.00
_cell_angle_gamma 90.00
_symmetry_space_group_name_H-M 'I -4'
_symmetry_Int_Tables_number 82
loop_
_symmetry_equiv_pos_as_xyz
'x,y,z'
'y,-x,-z'
'-x,-y,z'
'-y,x,-z'
'x+1/2,y+1/2,z+1/2'
'y+1/2,-x+1/2,-z+1/2'
'-x+1/2,-y+1/2,z+1/2'
'-y+1/2,x+1/2,-z+1/2'
loop_
_atom_site_label
_atom_site_fract_x
_atom_site_fract_y
_atom_site_fract_z
Li1 0.000 0.000 0.000
Fe1 0.000 0.500 0.750
Si1 0.000 0.000 0.500
O1 0.191 0.239 0.609
# - calculated density (g/cm³) = 3.1
# - total magnetic moment (Bohr magnetons per cell) = 10.00

--- two ---
# LiFeSiO4 | the Alexandria database | GGA-PBEsol | relaxed
data_LiFeSiO4
_chemical_formula_sum 'Li4 Fe4 Si4 O16'
_cell_length_a 7.807
_cell_length_b 9.025
_cell_length_c 4.907
_cell_angle_alpha 90.00
_cell_angle_beta 90.00
_cell_angle_gamma 90.00
_symmetry_space_group_name_H-M 'P n a 21'
_symmetry_Int_Tables_number 33
loop_
_symmetry_equiv_pos_as_xyz
'x,y,z'
'-x,-y,z+1/2'
'-x+1/2,y+1/2,z+1/2'
'x+1/2,-y+1/2,z'
loop_
_atom_site_label
_atom_site_fract_x
_atom_site_fract_y
_atom_site_fract_z
Li1 0.050 0.107 0.000
Fe1 0.177 0.518 0.068
Si1 0.221 0.356 0.617
O1 0.046 0.438 0.730
O2 0.139 0.961 0.277
O3 0.212 0.184 0.717
O4 0.246 0.361 0.288
# - DOS at the Fermi energy (states/eV per atom) = 0.011
# - calculated density (g/cm³) = 3.0
# - total magnetic moment (Bohr magnetons per cell) = 20.04

--- three ---
# LiFeSiO4 | the Alexandria database | GGA-PBEsol | relaxed
data_LiFeSiO4
_chemical_formula_sum 'Li4 Fe4 Si4 O16'
_cell_length_a 10.070
_cell_length_b 5.821
_cell_length_c 4.758
_cell_angle_alpha 90.00
_cell_angle_beta 90.00
_cell_angle_gamma 90.00
_symmetry_space_group_name_H-M 'P n m a'
_symmetry_Int_Tables_number 62
loop_
_symmetry_equiv_pos_as_xyz
'x,y,z'
'-x,-y,-z'
'-x+1/2,-y,z+1/2'
'x+1/2,y,-z+1/2'
'x+1/2,-y+1/2,-z+1/2'
'-x+1/2,y+1/2,z+1/2'
'-x,y+1/2,-z'
'x,-y+1/2,z'
loop_
_atom_site_label
_atom_site_fract_x
_atom_site_fract_y
_atom_site_fract_z
Li1 0.000 0.000 0.000
Fe1 0.226 0.250 0.492
Si1 0.093 0.750 0.442
O1 0.057 0.250 0.688
O2 0.101 0.750 0.781
O3 0.171 0.533 0.285
# - DOS at the Fermi energy (states/eV per atom) = 0.072
# - calculated density (g/cm³) = 3.7
# - total magnetic moment (Bohr magnetons per cell) = 20.11

--- four ---
# LiFeSiO4 | the Alexandria database | GGA-PBEsol | relaxed
data_LiFeSiO4
_chemical_formula_sum 'Li6 Fe6 Si6 O24'
_cell_length_a 8.6392
_cell_length_b 8.6392
_cell_length_c 8.1929
_cell_angle_alpha 90.00
_cell_angle_beta 90.00
_cell_angle_gamma 120.00
_symmetry_space_group_name_H-M 'P 63'
_symmetry_Int_Tables_number 173
loop_
_symmetry_equiv_pos_as_xyz
'x,y,z'
'x-y,x,z+1/2'
'-y,x-y,z'
'-x,-y,z+1/2'
'-x+y,-x,z'
'y,-x+y,z+1/2'
loop_
_atom_site_label
_atom_site_fract_x
_atom_site_fract_y
_atom_site_fract_z
Li1 0.0000 0.0000 0.0000
Li2 0.3333 0.6667 0.1838
Li3 0.3333 0.6667 0.6908
Fe1 0.0291 0.6900 0.3102
Si1 0.0396 0.6817 0.9290
O1 0.0904 0.2295 0.4210
O2 0.0901 0.5319 0.4001
O3 0.1402 0.7240 0.1067
O4 0.2008 0.7789 0.7921
# - calculated density (g/cm³) = 2.9
# - total magnetic moment (Bohr magnetons per cell) = 30.00

three ends up most stable, edging out the next structure by 26 meV per atom.